No. 1
! Re2TcSe SCAN PBEsol geometry; values from VASP
&SYSTEM
  ibrav = 0, nat = 4, ntyp = 3
/
ATOMIC_SPECIES
Re 186.21 Re.upf
Tc 98.00 Tc.upf
Se 78.96 Se.upf
CELL_PARAMETERS angstrom
2.9611 0.0000 0.0000
0.0000 4.4344 0.0000
0.0000 0.0000 4.4695
ATOMIC_POSITIONS angstrom
Re 0.0000 0.0000 0.0000
Re 1.4806 2.2172 0.0000
Tc 0.0000 2.2172 2.2348
Se 1.4806 0.0000 2.2348
! * volume: 59 Å³/cell
! * uncorrected formation energy: 525 meV/atom
! * SG: Pmmm
! * D(E_F): 0.581 states/eV/atom

No. 2
! MnCd2Tc SCAN PBEsol geometry; values from VASP
&SYSTEM
  ibrav = 0, nat = 4, ntyp = 3
/
ATOMIC_SPECIES
Mn 54.94 Mn.upf
Cd 112.41 Cd.upf
Tc 98.00 Tc.upf
CELL_PARAMETERS angstrom
1.3937 0.8047 9.3961
-1.3937 0.8047 9.3961
0.0000 -1.6093 9.3961
ATOMIC_POSITIONS angstrom
Mn 0.0000 0.0000 0.0000
Cd 0.0000 0.0000 14.4909
Cd 0.0000 0.0000 21.1145
Tc 0.0000 0.0000 7.5916
! * volume: 63 Å³/cell
! * SG: R3m
! * calculated formation energy: 328 meV per atom
! * D(E_F): 0.570 states/eV/atom

No. 3
! LaNb2Ga2 SCAN PBEsol geometry; values from VASP
&SYSTEM
  ibrav = 0, nat = 5, ntyp = 3
/
ATOMIC_SPECIES
La 138.91 La.upf
Nb 92.91 Nb.upf
Ga 69.72 Ga.upf
CELL_PARAMETERS angstrom
-2.0166 2.0166 6.2766
2.0166 -2.0166 6.2766
2.0166 2.0166 -6.2766
ATOMIC_POSITIONS angstrom
La 0.0000 0.0000 0.0000
Nb 2.0166 0.0000 3.1383
Nb 0.0000 2.0166 3.1383
Ga 0.0000 0.0000 4.9956
Ga 0.0000 0.0000 7.5577
! * volume: 102 Å³/cell
! * SG: I4/mmm
! * calculated formation energy: -433 meV per atom
! * D(E_F): 1.050 states/eV/atom

No. 4
! LaB2Ir SCAN PBEsol geometry; values from VASP
&SYSTEM
  ibrav = 0, nat = 4, ntyp = 3
/
ATOMIC_SPECIES
La 138.91 La.upf
B 10.81 B.upf
Ir 192.22 Ir.upf
CELL_PARAMETERS angstrom
0.0000 3.0202 3.0202
3.0202 0.0000 3.0202
3.0202 3.0202 0.0000
ATOMIC_POSITIONS angstrom
La 0.0000 0.0000 0.0000
B 1.5101 1.5101 1.5101
B 4.5303 4.5303 4.5303
Ir 3.0202 3.0202 3.0202
! * volume: 55 Å³/cell
! * SG: Fm-3m
! * calculated formation energy: 371 meV per atom
! * D(E_F): 0.236 states/eV/atom

No. 5
! KCuOs3 SCAN PBEsol geometry; values from VASP
&SYSTEM
  ibrav = 0, nat = 5, ntyp = 3
/
ATOMIC_SPECIES
K 39.10 K.upf
Cu 63.55 Cu.upf
Os 190.23 Os.upf
CELL_PARAMETERS angstrom
4.5514 0.0000 0.0000
0.0000 4.5514 0.0000
0.0000 0.0000 4.5514
ATOMIC_POSITIONS angstrom
K 0.0000 0.0000 0.0000
Cu 2.2757 2.2757 2.2757
Os 0.0000 2.2757 2.2757
Os 2.2757 0.0000 2.2757
Os 2.2757 2.2757 0.0000
! * volume: 94 Å³/cell
! * SG: Pm-3m
! * calculated formation energy: 2388 meV per atom
! * D(E_F): 1.276 states/eV/atom

No. 6
! Hf2CoHgO SCAN PBEsol geometry; values from VASP
&SYSTEM
  ibrav = 0, nat = 5, ntyp = 4
/
ATOMIC_SPECIES
Hf 178.49 Hf.upf
Co 58.93 Co.upf
Hg 200.59 Hg.upf
O 16.00 O.upf
CELL_PARAMETERS angstrom
5.1198 0.0000 0.0000
0.0000 5.1198 0.0000
0.0000 0.0000 4.5500
ATOMIC_POSITIONS angstrom
Hf 0.0000 2.5599 0.0000
Hf 2.5599 0.0000 0.0000
Co 0.0000 0.0000 2.2750
Hg 0.0000 0.0000 0.0000
O 2.5599 2.5599 2.2750
! * volume: 119 Å³/cell
! * uncorrected formation energy: 1472 meV/atom
! * SG: P4/mmm
! * D(E_F): 0.697 states/eV/atom

No. 7
! RbHfNbFe2 SCAN PBEsol geometry; values from VASP
&SYSTEM
  ibrav = 0, nat = 5, ntyp = 4
/
ATOMIC_SPECIES
Rb 85.47 Rb.upf
Hf 178.49 Hf.upf
Nb 92.91 Nb.upf
Fe 55.84 Fe.upf
CELL_PARAMETERS angstrom
4.8965 0.0000 0.0000
0.0000 4.8965 0.0000
0.0000 0.0000 4.9742
ATOMIC_POSITIONS angstrom
Rb 0.0000 0.0000 0.0000
Hf 2.4483 2.4483 2.4871
Nb 2.4483 2.4483 0.0000
Fe 0.0000 2.4483 2.4871
Fe 2.4483 0.0000 2.4871
! * volume: 119 Å³/cell
! * SG: P4/mmm
! * calculated formation energy: 1560 meV per atom
! * D(E_F): 0.814 states/eV/atom

No. 8
! Mg2Ir SCAN PBEsol geometry; values from VASP
&SYSTEM
  ibrav = 0, nat = 3, ntyp = 2
/
ATOMIC_SPECIES
Mg 24.30 Mg.upf
Ir 192.22 Ir.upf
CELL_PARAMETERS angstrom
-1.5032 1.9014 4.2249
1.5032 -1.9014 4.2249
1.5032 1.9014 -4.2249
ATOMIC_POSITIONS angstrom
Mg 0.0000 0.0000 1.3203
Mg 0.0000 0.0000 7.1296
Ir 0.0000 0.0000 4.2249
! * volume: 48 Å³/cell
! * SG: Immm
! * calculated formation energy: -413 meV per atom
! * D(E_F): 0.328 states/eV/atom